Entry 1:
VASP calculation (PBE-GGA) on a relaxed Pr6TlCo2Cl3 crystal.

a = 3.975 Å, b = 8.896 Å, c = 10.593 Å
α = 105.07°, β = 100.81°, γ = 90.00°
Element x y z (fractional)
1 Co 0.827 0.651 0.653
2 Co 0.173 0.349 0.347
3 Cl 0.184 0.857 0.367
4 Cl 0.500 0.500 0.000
5 Cl 0.816 0.143 0.633
6 Pr 0.336 0.873 0.671
7 Pr 0.664 0.127 0.329
8 Pr 0.310 0.419 0.621
9 Pr 0.041 0.291 0.082
10 Pr 0.690 0.581 0.379
11 Pr 0.959 0.709 0.918
12 Tl 0.500 0.000 0.000

Calculated values
Magnetic moment ... 0.0 μB/cell
Uncorrected energy ... -5.056 eV/atom
E_form (uncorrected) ... -952.5 kJ/mol of formula units
Volume ... 354.8 Å³/f.u.
Space-group type ... C2/m

---

Entry 2:
VASP calculation (PBE-GGA) on a relaxed CoPt2Cl crystal.

a = 2.830 Å, b = 2.830 Å, c = 9.482 Å
α = 90.00°, β = 90.00°, γ = 120.99°
Site moments in Bohr magnetons follow the coordinates.
Element x y z (fractional)
1 Pt 0.000 0.000 0.969  0.14
2 Pt 0.500 0.500 0.224  -0.03
3 Cl 0.000 0.000 0.560  0.12
4 Co 0.500 0.500 0.746  1.77

Calculated values
Magnetic moment ... 2.0 μB/cell
Uncorrected energy ... -4.982 eV/atom
E_form (uncorrected) ... 106.8 kJ/mol of formula units
Volume ... 65.1 Å³/f.u.
Space-group type ... Cmm2

---

Entry 3:
VASP calculation (PBE-GGA) on a relaxed Co2PtCl crystal.

a = 6.306 Å, b = 6.306 Å, c = 6.306 Å
α = 154.44°, β = 146.18°, γ = 42.86°
Site moments in Bohr magnetons follow the coordinates.
Element x y z (fractional)
1 Cl 0.282 0.782 0.500  0.15
2 Co 0.941 0.941 0.000  2.03
3 Co 0.734 0.234 0.500  1.85
4 Pt 0.543 0.543 0.000  0.53

Calculated values
Magnetic moment ... 4.5 μB/cell
Energy above the most stable polymorph in this dataset ... 0.2578 eV/atom
Uncorrected energy ... -5.132 eV/atom
E_form (uncorrected) ... 151.7 kJ/mol of formula units
Volume ... 60.1 Å³/f.u.
Space-group type ... Imm2

---

- What is the formula in the first record?
  Pr6TlCo2Cl3